(1)
Material: SrCdRu2
Method: DFT, PBE-GGA
State: relaxed

Output
symmetry	No. 122
N(E_F)	6.8	states/eV/f.u.
formation energy from the elements	0.613	eV per atom
final energy	-4.67	eV/atom

abc: 4.476 4.476 10.307
angles: 77.46 77.46 90.00
Positions (direct):
Sr1 0.250 0.750 0.500
Sr2 0.500 0.500 0.000
Cd1 0.750 0.250 0.500
Cd2 0.000 0.000 0.000
Ru1 0.981 0.625 0.250
Ru2 0.375 0.231 0.750
Ru3 0.769 0.125 0.250
Ru4 0.875 0.019 0.750

(2)
Material: TcHg2BTe
Method: DFT, PBE-GGA
State: relaxed

Output
symmetry	No. 123
N(E_F)	3.5	states/eV/f.u.
final energy	-3.22	eV/atom
E_form (uncorrected)	4.70	eV per formula unit

abc: 5.452 4.023 5.452
angles: 90.00 90.00 90.00
Positions (direct):
B1 0.000 0.500 0.000
Hg1 0.000 0.000 0.500
Hg2 0.500 0.000 0.000
Te1 0.500 0.500 0.500
Tc1 0.000 0.000 0.000